A plane-wave DFT calculation with PBE-GGA was carried out for crystalline CrOsCl2 at its relaxed geometry. Values from VASP.

Geometry as Quantum ESPRESSO input:
```
&SYSTEM
  ibrav = 0, nat = 4, ntyp = 3
/
ATOMIC_SPECIES
Cr 52.00 Cr.upf
Os 190.23 Os.upf
Cl 35.45 Cl.upf
CELL_PARAMETERS angstrom
6.5729 -1.4783 0.0000
6.5729 1.4783 0.0000
-0.4622 0.0000 4.4434
ATOMIC_POSITIONS crystal
Cr 0.0000 0.0000 0.0000
Os 0.5000 0.5000 0.5000
Cl 0.3618 0.3618 0.7829
Cl 0.6382 0.6382 0.2171
```

***

A plane-wave DFT calculation with PBE-GGA was carried out for crystalline CrOsCl2 at its relaxed geometry. Values from VASP.

Geometry as Quantum ESPRESSO input:
```
&SYSTEM
  ibrav = 0, nat = 4, ntyp = 3
/
ATOMIC_SPECIES
Cr 52.00 Cr.upf
Os 190.23 Os.upf
Cl 35.45 Cl.upf
CELL_PARAMETERS angstrom
-2.7147 2.7147 2.3842
2.7147 -2.7147 2.3842
2.7147 2.7147 -2.3842
ATOMIC_POSITIONS crystal
Cr 0.0000 0.0000 0.0000
Os 0.7500 0.2500 0.5000
Cl 0.2500 0.7500 0.5000
Cl 0.5000 0.5000 0.0000
```

***

A plane-wave DFT calculation with PBE-GGA was carried out for crystalline CrOsCl2 at its relaxed geometry. Values from VASP.

Geometry as Quantum ESPRESSO input:
```
&SYSTEM
  ibrav = 0, nat = 4, ntyp = 3
/
ATOMIC_SPECIES
Cr 52.00 Cr.upf
Os 190.23 Os.upf
Cl 35.45 Cl.upf
CELL_PARAMETERS angstrom
0.0000 3.2201 3.2201
3.2201 0.0000 3.2201
3.2201 3.2201 0.0000
ATOMIC_POSITIONS crystal
Cr 0.0000 0.0000 0.0000
Os 0.2500 0.2500 0.2500
Cl 0.5000 0.5000 0.5000
Cl 0.7500 0.7500 0.7500
```

***

A plane-wave DFT calculation with PBE-GGA was carried out for crystalline CrOs2Cl at its relaxed geometry. Values from VASP.

Geometry as Quantum ESPRESSO input:
```
&SYSTEM
  ibrav = 0, nat = 4, ntyp = 3
/
ATOMIC_SPECIES
Cr 52.00 Cr.upf
Os 190.23 Os.upf
Cl 35.45 Cl.upf
CELL_PARAMETERS angstrom
2.8159 0.0000 0.0000
0.0000 3.9965 0.0000
-1.2753 0.0000 4.9974
ATOMIC_POSITIONS crystal
Cr 0.0000 0.0000 0.0000
Os 0.3595 0.5000 0.7465
Os 0.6405 0.5000 0.2535
Cl 0.0000 0.0000 0.5000
```

***

A plane-wave DFT calculation with PBE-GGA was carried out for crystalline CrOs2Cl at its relaxed geometry. Values from VASP.

Geometry as Quantum ESPRESSO input:
```
&SYSTEM
  ibrav = 0, nat = 4, ntyp = 3
/
ATOMIC_SPECIES
Cr 52.00 Cr.upf
Os 190.23 Os.upf
Cl 35.45 Cl.upf
CELL_PARAMETERS angstrom
0.0000 3.0489 3.0489
3.0489 0.0000 3.0489
3.0489 3.0489 0.0000
ATOMIC_POSITIONS crystal
Cr 0.0000 0.0000 0.0000
Os 0.2500 0.2500 0.2500
Os 0.7500 0.7500 0.7500
Cl 0.5000 0.5000 0.5000
```

***

A plane-wave DFT calculation with PBE-GGA was carried out for crystalline CrOs2Cl at its relaxed geometry. Values from VASP.

Geometry as Quantum ESPRESSO input:
```
&SYSTEM
  ibrav = 0, nat = 4, ntyp = 3
/
ATOMIC_SPECIES
Cr 52.00 Cr.upf
Os 190.23 Os.upf
Cl 35.45 Cl.upf
CELL_PARAMETERS angstrom
1.3870 -2.3467 0.0000
1.3870 2.3467 0.0000
0.0000 0.0000 9.3773
ATOMIC_POSITIONS crystal
Cr 0.0000 0.0000 0.0000
Os 0.5000 0.5000 0.2182
Os 0.5000 0.5000 0.7818
Cl 0.0000 0.0000 0.5000
```

***

Respective calculated total energy values: -5.879 -5.270 -5.093 -7.658 -7.360 -7.725 eV per atom.
Respective uncorrected formation energy values: 0.258 0.866 1.044 0.825 1.122 0.757 eV per atom.